(1)
GdPaMnTc: optimized geometry, PBE-GGA.

* density of states at the Fermi level: 4.1 states/eV/f.u.
* ρ: 11.11 g/cm³
* calculated formation energy: 10.4 kJ per mole of atoms
* M_tot: 8.99 μB per formula unit

a b c (Å): 4.854 4.854 4.854
angles (deg): 60.00 60.00 60.00
Each line ends with the local moment (μB).
Atoms (fractional coordinates):
1 Gd 0.750 0.750 0.750  6.91
2 Pa 0.250 0.250 0.250  -0.57
3 Tc 0.000 0.000 0.000  0.09
4 Mn 0.500 0.500 0.500  2.52



(2)
Ba3SbBr2: optimized geometry, PBE-GGA.

* density of states at the Fermi level: 2.4 states/eV/f.u.
* ρ: 4.70 g/cm³
* M_tot: 0.00 μB per formula unit
* formation energy without anion corrections: -9.34 eV/f.u.

a b c (Å): 4.955 6.867 8.351
angles (deg): 114.28 107.26 90.00
Atoms (fractional coordinates):
1 Ba 0.339 0.339 0.678
2 Ba 0.000 0.000 0.000
3 Ba 0.661 0.661 0.322
4 Sb 0.000 0.500 0.000
5 Br 0.666 0.166 0.331
6 Br 0.334 0.834 0.669



(3)
TcIrOs2: optimized geometry, PBE-GGA.

* density of states at the Fermi level: 3.4 states/eV/f.u.
* ρ: 19.31 g/cm³
* calculated formation energy: 1.4 kJ per mole of atoms
* M_tot: 0.00 μB per formula unit

a b c (Å): 4.733 4.733 4.736
angles (deg): 80.46 80.46 33.50
Atoms (fractional coordinates):
1 Ir 0.250 0.250 0.252
2 Os 0.002 0.002 0.992
3 Os 0.749 0.749 0.753
4 Tc 0.499 0.499 0.503



(4)
Sn2PtAu: optimized geometry, PBE-GGA.

* density of states at the Fermi level: 2.0 states/eV/f.u.
* ρ: 10.64 g/cm³
* calculated formation energy: -17.8 kJ per mole of atoms
* M_tot: 0.00 μB per formula unit

a b c (Å): 3.585 3.585 9.068
angles (deg): 78.60 78.60 60.00
Atoms (fractional coordinates):
1 Au 0.000 0.000 0.000
2 Sn 0.100 0.100 0.701
3 Sn 0.900 0.900 0.299
4 Pt 0.500 0.500 0.500



(5)
TaZn2SnI: optimized geometry, PBE-GGA.

* density of states at the Fermi level: 5.7 states/eV/f.u.
* ρ: 6.05 g/cm³
* M_tot: 2.70 μB per formula unit
* formation energy without anion corrections: 8.41 eV/f.u.

a b c (Å): 5.079 5.935 5.079
angles (deg): 90.00 90.00 90.00
Each line ends with the local moment (μB).
Atoms (fractional coordinates):
1 I 0.000 0.000 0.000  0.04
2 Zn 0.000 0.000 0.500  0.02
3 Zn 0.500 0.000 0.000  0.01
4 Sn 0.000 0.500 0.000  -0.08
5 Ta 0.500 0.500 0.500  1.74



(6)
CaFe2Se: optimized geometry, PBE-GGA.

* density of states at the Fermi level: 3.7 states/eV/f.u.
* ρ: 5.17 g/cm³
* M_tot: 5.85 μB per formula unit
* formation energy without anion corrections: -0.32 eV/f.u.

a b c (Å): 3.394 3.394 6.440
angles (deg): 90.00 90.00 90.00
Each line ends with the local moment (μB).
Atoms (fractional coordinates):
1 Ca 0.500 0.500 0.740  -0.01
2 Fe 0.000 0.000 0.084  2.67
3 Fe 0.500 0.500 0.215  2.94
4 Se 0.000 0.000 0.462  0.15



(7)
LiTbGa6: optimized geometry, PBE-GGA.

* density of states at the Fermi level: 4.0 states/eV/f.u.
* ρ: 6.64 g/cm³
* calculated formation energy: -32.2 kJ per mole of atoms
* M_tot: 0.00 μB per formula unit

a b c (Å): 4.229 4.229 8.174
angles (deg): 90.00 90.00 90.00
Atoms (fractional coordinates):
1 Li 0.000 0.000 0.500
2 Tb 0.000 0.000 0.000
3 Ga 0.500 0.500 0.000
4 Ga 0.500 0.500 0.500
5 Ga 0.500 0.000 0.270
6 Ga 0.500 0.000 0.730
7 Ga 0.000 0.500 0.270
8 Ga 0.000 0.500 0.730



(8)
La2NdP3: optimized geometry, PBE-GGA.

* density of states at the Fermi level: 0.6 states/eV/f.u.
* ρ: 5.29 g/cm³
* calculated formation energy: -150.7 kJ per mole of atoms
* M_tot: 0.00 μB per formula unit

a b c (Å): 4.244 5.994 7.344
angles (deg): 114.09 106.79 90.00
Atoms (fractional coordinates):
1 La 0.833 0.833 0.167
2 La 0.167 0.167 0.833
3 Nd 0.500 0.500 0.500
4 P 0.836 0.336 0.172
5 P 0.164 0.664 0.828
6 P 0.500 0.000 0.500



(9)
Sc3TiPt: optimized geometry, PBE-GGA.

* density of states at the Fermi level: 6.0 states/eV/f.u.
* ρ: 4.84 g/cm³
* calculated formation energy: 0.6 kJ per mole of atoms
* M_tot: 2.36 μB per formula unit

a b c (Å): 5.061 5.061 5.061
angles (deg): 90.00 90.00 90.00
Each line ends with the local moment (μB).
Atoms (fractional coordinates):
1 Sc 0.000 0.500 0.000  0.03
2 Sc 0.000 0.000 0.500  0.05
3 Sc 0.500 0.000 0.000  0.01
4 Pt 0.000 0.000 0.000  0.02
5 Ti 0.500 0.500 0.500  1.54



(10)
AcYLu: optimized geometry, PBE-GGA.

* density of states at the Fermi level: 4.6 states/eV/f.u.
* ρ: 7.70 g/cm³
* calculated formation energy: 7.1 kJ per mole of atoms
* M_tot: 0.00 μB per formula unit

a b c (Å): 3.714 3.714 8.110
angles (deg): 103.24 103.24 90.00
Atoms (fractional coordinates):
1 Y 0.326 0.326 0.652
2 Ac 0.002 0.002 0.003
3 Lu 0.673 0.673 0.345



(11)
Sr6CdHg5: optimized geometry, PBE-GGA.

* density of states at the Fermi level: 7.7 states/eV/f.u.
* ρ: 7.02 g/cm³
* calculated formation energy: -48.2 kJ per mole of atoms
* M_tot: 0.00 μB per formula unit

a b c (Å): 5.710 7.915 9.881
angles (deg): 113.61 106.87 90.00
Atoms (fractional coordinates):
1 Sr 0.832 0.580 0.664
2 Sr 0.832 0.083 0.664
3 Sr 0.500 0.747 0.000
4 Sr 0.500 0.253 0.000
5 Sr 0.168 0.917 0.336
6 Sr 0.168 0.420 0.336
7 Hg 0.663 0.163 0.327
8 Hg 0.333 0.334 0.667
9 Hg 0.000 0.500 0.000
10 Hg 0.667 0.666 0.333
11 Hg 0.337 0.837 0.673
12 Cd 0.000 0.000 0.000



(12)
KDyGeO3: optimized geometry, PBE-GGA.

* density of states at the Fermi level: 0.0 states/eV/f.u.
* ρ: 4.68 g/cm³
* M_tot: 0.00 μB per formula unit
* formation energy without anion corrections: -13.39 eV/f.u.

a b c (Å): 3.356 6.693 10.239
angles (deg): 96.56 90.00 90.00
Atoms (fractional coordinates):
1 K 0.750 0.824 0.746
2 K 0.250 0.176 0.254
3 Dy 0.250 0.624 0.129
4 Dy 0.750 0.376 0.871
5 Ge 0.250 0.257 0.603
6 Ge 0.750 0.743 0.397
7 O 0.250 0.579 0.351
8 O 0.750 0.833 0.223
9 O 0.750 0.400 0.092
10 O 0.750 0.421 0.649
11 O 0.250 0.600 0.908
12 O 0.250 0.167 0.777



(13)
KRb2NdBr6: optimized geometry, PBE-GGA.

* density of states at the Fermi level: 0.0 states/eV/f.u.
* ρ: 3.38 g/cm³
* M_tot: 0.00 μB per formula unit
* formation energy without anion corrections: -18.37 eV/f.u.

a b c (Å): 8.161 8.634 11.642
angles (deg): 90.00 88.80 90.00
Atoms (fractional coordinates):
1 K 0.500 0.000 0.000
2 K 0.000 0.500 0.500
3 Rb 0.028 0.925 0.255
4 Rb 0.528 0.575 0.755
5 Rb 0.972 0.075 0.745
6 Rb 0.472 0.425 0.245
7 Nd 0.500 0.000 0.500
8 Nd 0.000 0.500 0.000
9 Br 0.287 0.684 0.054
10 Br 0.787 0.816 0.554
11 Br 0.713 0.316 0.946
12 Br 0.213 0.184 0.446
13 Br 0.325 0.721 0.433
14 Br 0.825 0.779 0.933
15 Br 0.675 0.279 0.567
16 Br 0.175 0.221 0.067
17 Br 0.879 0.545 0.234
18 Br 0.379 0.955 0.734
19 Br 0.121 0.455 0.766
20 Br 0.621 0.045 0.266



(14)
SrLaCr2: optimized geometry, PBE-GGA.

* density of states at the Fermi level: 3.4 states/eV/f.u.
* ρ: 4.76 g/cm³
* calculated formation energy: 63.1 kJ per mole of atoms
* M_tot: 8.06 μB per formula unit

a b c (Å): 3.839 3.839 7.821
angles (deg): 90.00 90.00 90.00
Each line ends with the local moment (μB).
Atoms (fractional coordinates):
1 Cr 0.000 0.000 0.029  3.69
2 Cr 0.000 0.000 0.471  3.69
3 La 0.500 0.500 0.250  -0.09
4 Sr 0.500 0.500 0.750  0.00



(15)
Rb2BeCrBi: optimized geometry, PBE-GGA.

* density of states at the Fermi level: 2.1 states/eV/f.u.
* ρ: 3.03 g/cm³
* calculated formation energy: 74.8 kJ per mole of atoms
* M_tot: 5.03 μB per formula unit

a b c (Å): 7.309 4.528 7.309
angles (deg): 90.00 90.00 90.00
Each line ends with the local moment (μB).
Atoms (fractional coordinates):
1 Cr 0.500 0.500 0.500  4.29
2 Bi 0.000 0.000 0.000  0.00
3 Rb 0.000 0.000 0.500  0.00
4 Rb 0.500 0.000 0.000  0.00
5 Be 0.000 0.500 0.000  -0.01



(16)
Sm6YCd: optimized geometry, PBE-GGA.

* density of states at the Fermi level: 12.0 states/eV/f.u.
* ρ: 7.02 g/cm³
* calculated formation energy: 3.8 kJ per mole of atoms
* M_tot: 0.00 μB per formula unit

a b c (Å): 9.462 8.666 6.414
angles (deg): 47.50 42.51 56.96
Atoms (fractional coordinates):
1 Sm 0.045 0.452 0.744
2 Sm 0.760 0.956 0.736
3 Sm 0.549 0.240 0.167
4 Sm 0.240 0.044 0.264
5 Sm 0.955 0.548 0.256
6 Sm 0.451 0.760 0.833
7 Y 0.500 0.500 0.500
8 Cd 0.000 0.000 0.000



(17)
BAsPd: optimized geometry, PBE-GGA.

* density of states at the Fermi level: 1.0 states/eV/f.u.
* ρ: 7.25 g/cm³
* calculated formation energy: 9.6 kJ per mole of atoms
* M_tot: 0.00 μB per formula unit

a b c (Å): 3.341 4.301 6.425
angles (deg): 80.77 75.18 89.92
Atoms (fractional coordinates):
1 As 0.494 0.925 0.696
2 As 0.175 0.503 0.340
3 B 0.898 0.912 0.890
4 B 0.788 0.602 0.100
5 Pd 0.699 0.013 0.285
6 Pd 0.364 0.349 0.943



(18)
CaLa2ScO: optimized geometry, PBE-GGA.

* density of states at the Fermi level: 7.3 states/eV/f.u.
* ρ: 4.81 g/cm³
* M_tot: 0.01 μB per formula unit
* formation energy without anion corrections: -5.15 eV/f.u.

a b c (Å): 5.219 5.219 4.802
angles (deg): 90.00 90.00 90.00
Atoms (fractional coordinates):
1 Sc 0.500 0.500 0.500
2 Ca 0.000 0.000 0.500
3 O 0.000 0.000 0.000
4 La 0.000 0.500 0.000
5 La 0.500 0.000 0.000



(19)
Pm3RhBr3: optimized geometry, PBE-GGA.

* density of states at the Fermi level: 5.0 states/eV/f.u.
* ρ: 5.83 g/cm³
* M_tot: 0.03 μB per formula unit
* formation energy without anion corrections: -9.44 eV/f.u.

a b c (Å): 4.074 8.957 12.149
angles (deg): 92.13 90.00 90.00
Atoms (fractional coordinates):
1 Pm 0.250 0.315 0.618
2 Pm 0.750 0.685 0.382
3 Pm 0.250 0.887 0.623
4 Pm 0.750 0.113 0.377
5 Pm 0.250 0.881 0.155
6 Pm 0.750 0.119 0.845
7 Rh 0.250 0.898 0.383
8 Rh 0.750 0.102 0.617
9 Br 0.250 0.400 0.371
10 Br 0.750 0.600 0.629
11 Br 0.250 0.873 0.890
12 Br 0.750 0.127 0.110
13 Br 0.250 0.365 0.868
14 Br 0.750 0.635 0.132



(20)
SbIr3Au: optimized geometry, PBE-GGA.

* density of states at the Fermi level: 5.5 states/eV/f.u.
* ρ: 13.15 g/cm³
* M_tot: 0.74 μB per formula unit
* formation energy without anion corrections: 8.68 eV/f.u.

a b c (Å): 4.836 4.836 4.836
angles (deg): 90.00 90.00 90.00
Each line ends with the local moment (μB).
Atoms (fractional coordinates):
1 Sb 0.000 0.000 0.000  -0.01
2 Ir 0.000 0.500 0.000  0.23
3 Ir 0.000 0.000 0.500  0.31
4 Ir 0.500 0.000 0.000  0.21
5 Au 0.500 0.500 0.500  0.01